CuRuPt3 after structural relaxation. Source: Alexandria via LeMat-Bulk, functional GGA-PBE.

Unit cell a=4.531 b=4.531 c=4.531 alpha=90.00 beta=90.00 gamma=90.00
Space group Pm-3m (No. 221)
Asymmetric unit:
Cu (0.000, 0.000, 0.000) [1 per cell]
Ru (0.500, 0.500, 0.500) [1 per cell]
Pt (0.000, 0.000, 0.500) [3 per cell]

Values from the calculation:
- Density of states at the Fermi level: 8.8 states/eV per cell
- VASP energy: -25.01 eV/f.u.
- Energy relative to the lowest polymorph listed for this composition: 0.00 eV per formula unit
- V: 18.60 Å³/atom
- Crystal system: cubic
- Energy of formation from the pure elements: 1297 meV/atom